Here is a relaxed structure of FeTeIr from the Alexandria database. Energies are from PBE.

Results
uncorrected energy = -6.39 eV/atom
calculated density = 12.227 Mg/m³
ΔE_f (raw) = 0.43 eV/atom
SG = I4mm (107)
DOS at the Fermi energy = 2.6 states/eV per cell

abc: 5.7902 5.7902 5.7902
angles: 149.11 149.11 44.25
Closest atoms and distances in Å follow each position.
Atoms (fractional coordinates):
Fe (0.9858, 0.9858, 0.0000)  4 Ir 2.63, 4 Te 2.92
Ir (0.3481, 0.3481, 0.0000)  4 Fe 2.63, 4 Te 2.93
Te (0.6662, 0.6662, 0.0000)  4 Fe 2.92, 4 Ir 2.93, 4 Te 3.08

Here is a relaxed structure of Th8FeTe4Ir3 from the Alexandria database. Energies are from PBE.

Results
uncorrected energy = -7.70 eV/atom
calculated density = 10.721 Mg/m³
ΔE_f (raw) = -1.01 eV/atom
SG = R-3m (166)
DOS at the Fermi energy = 9.5 states/eV per cell

abc: 8.3541 9.0735 8.3543
angles: 117.41 120.00 90.00
Closest atoms and distances in Å follow each position.
Atoms (fractional coordinates):
Th (0.2278, 0.6984, 0.9706)  1 Fe 2.79, 2 Ir 2.88
Th (0.2279, 0.6984, 0.4558)  1 Fe 2.79, 2 Ir 2.88
Th (0.2660, 0.2979, 0.5319)  3 Ir 2.87
Th (0.7428, 0.6984, 0.9706)  1 Fe 2.79, 2 Ir 2.88
Th (0.2572, 0.3016, 0.0294)  1 Fe 2.79, 2 Ir 2.88
Th (0.7340, 0.7021, 0.4681)  3 Ir 2.87
Th (0.7721, 0.3016, 0.5442)  1 Fe 2.79, 2 Ir 2.88
Th (0.7722, 0.3016, 0.0294)  1 Fe 2.79, 2 Ir 2.88
Fe (0.0000, 0.5000, 0.0000)  6 Th 2.79
Te (0.5000, 0.0000, 0.0000)  6 Th 3.40
Te (0.5000, 0.0000, 0.5000)  6 Th 3.32-3.33
Te (0.0000, 0.0000, 0.0000)  6 Th 3.32-3.33
Te (0.0000, 0.0000, 0.5000)  6 Th 3.32-3.33
Ir (0.5000, 0.5000, 0.0000)  6 Th 2.87-2.88
Ir (0.5000, 0.5000, 0.5000)  6 Th 2.87-2.88
Ir (0.0000, 0.5000, 0.5000)  6 Th 2.87-2.88

Here is a relaxed structure of Th4FeTe2Ir from the Alexandria database. Energies are from PBE.

Results
uncorrected energy = -7.53 eV/atom
calculated density = 10.413 Mg/m³
ΔE_f (raw) = -0.87 eV/atom
SG = P2/m (10)
DOS at the Fermi energy = 4.5 states/eV per cell

abc: 4.1382 7.1918 8.0318
angles: 107.27 90.00 90.00
Closest atoms and distances in Å follow each position.
Atoms (fractional coordinates):
Th (0.5000, 0.2440, 0.1980)  1 Fe 2.77, 2 Ir 2.87
Th (0.5000, 0.7560, 0.8020)  1 Fe 2.77, 2 Ir 2.87
Th (0.0000, 0.2774, 0.8050)  2 Fe 2.79, 1 Ir 2.88
Th (0.0000, 0.7226, 0.1950)  2 Fe 2.79, 1 Ir 2.88
Fe (0.5000, 0.5000, 0.0000)  6 Th 2.77-2.79
Te (0.5000, 0.0000, 0.5000)  6 Th 3.37-3.39
Te (0.0000, 0.5000, 0.5000)  6 Th 3.30
Ir (0.0000, 0.0000, 0.0000)  6 Th 2.87-2.88

Here is a relaxed structure of Th8FeTe3Ir3 from the Alexandria database. Energies are from PBE.

Results
uncorrected energy = -7.79 eV/atom
calculated density = 10.214 Mg/m³
ΔE_f (raw) = -0.86 eV/atom
SG = C2/m (12)
DOS at the Fermi energy = 11.6 states/eV per cell

abc: 8.3347 8.3634 9.1161
angles: 117.42 90.00 119.89
Closest atoms and distances in Å follow each position.
Atoms (fractional coordinates):
Th (0.2658, 0.5316, 0.2978)  3 Ir 2.87-2.88
Th (0.7342, 0.4684, 0.7022)  3 Ir 2.87-2.88
Th (0.7765, 0.5529, 0.3090)  1 Fe 2.75, 2 Ir 2.87
Th (0.2235, 0.4471, 0.6910)  1 Fe 2.75, 2 Ir 2.87
Th (0.7766, 0.0319, 0.3092)  1 Fe 2.74, 2 Ir 2.87-2.88
Th (0.2234, 0.9681, 0.6908)  1 Fe 2.74, 2 Ir 2.87-2.88
Th (0.2553, 0.0319, 0.3092)  1 Fe 2.74, 2 Ir 2.87-2.88
Th (0.7447, 0.9681, 0.6908)  1 Fe 2.74, 2 Ir 2.87-2.88
Fe (0.0000, 0.0000, 0.5000)  6 Th 2.74-2.75
Te (0.0000, 0.0000, 0.0000)  6 Th 3.33-3.36
Te (0.0000, 0.5000, 0.0000)  6 Th 3.33-3.36
Te (0.5000, 0.5000, 0.0000)  6 Th 3.33-3.36
Ir (0.5000, 0.0000, 0.5000)  6 Th 2.87-2.88
Ir (0.5000, 0.5000, 0.5000)  6 Th 2.87-2.88
Ir (0.0000, 0.5000, 0.5000)  6 Th 2.87-2.88

Here is a relaxed structure of TiFe4Ir from the Alexandria database. Energies are from PBE.

Results
uncorrected energy = -8.64 eV/atom
calculated density = 10.326 Mg/m³
calculated formation energy = -1.3 eV per formula unit
SG = F-43m (216)
DOS at the Fermi energy = 8.1 states/eV per cell

abc: 4.7238 4.7238 4.7238
angles: 60.00 60.00 60.00
Closest atoms and distances in Å follow each position.
Atoms (fractional coordinates):
Ir (0.0000, 0.0000, 0.0000)  12 Fe 2.77, 4 Ti 2.89
Fe (0.6248, 0.6248, 0.1255)  6 Fe 2.36
Fe (0.6248, 0.1255, 0.6248)  6 Fe 2.36
Fe (0.6248, 0.6248, 0.6248)  6 Fe 2.36
Fe (0.1255, 0.6248, 0.6248)  6 Fe 2.36
Ti (0.2500, 0.2500, 0.2500)  12 Fe 2.77, 4 Ir 2.89

Here is a relaxed structure of TiFe2Ir from the Alexandria database. Energies are from PBE.

Results
uncorrected energy = -8.31 eV/atom
calculated density = 9.979 Mg/m³
calculated formation energy = 0.4 eV per formula unit
SG = I-42d (122)
DOS at the Fermi energy = 7.3 states/eV per cell

abc: 3.5516 3.5516 9.6151
angles: 79.36 79.36 90.00
Closest atoms and distances in Å follow each position.
Atoms (fractional coordinates):
Ir (0.0000, 0.0000, 0.0000)  4 Ti 2.51, 4 Fe 2.63
Ir (0.7500, 0.2500, 0.5000)  4 Ti 2.51, 4 Fe 2.63
Fe (0.6297, 0.1250, 0.2500)  4 Fe 2.49-2.54, 2 Ir 2.63, 2 Ti 2.64
Fe (0.1203, 0.6250, 0.2500)  4 Fe 2.49-2.54, 2 Ir 2.63, 2 Ti 2.64
Fe (0.3750, 0.3703, 0.7500)  4 Fe 2.49-2.54, 2 Ir 2.63, 2 Ti 2.64
Fe (0.8750, 0.8797, 0.7500)  4 Fe 2.49-2.54, 2 Ir 2.63, 2 Ti 2.64
Ti (0.5000, 0.5000, 0.0000)  4 Ir 2.51, 4 Fe 2.64
Ti (0.2500, 0.7500, 0.5000)  4 Ir 2.51, 4 Fe 2.64